[1]
! Ge2MoIr PBE relaxed; values from VASP
! Calculated volume ... 15.7 Å³ per atom
! Raw total energy ... -6.962 eV/atom
! Crystal system ... cubic
! Magnetization ... 0.00 μB per formula unit
&SYSTEM
  ibrav = 0, nat = 4, ntyp = 3
/
ATOMIC_SPECIES
Ge 72.64 Ge.upf
Mo 95.94 Mo.upf
Ir 192.22 Ir.upf
ATOMIC_POSITIONS crystal
Ge 0.0000 0.0000 0.0000
Ge 0.2500 0.2500 0.2500
Mo 0.5000 0.5000 0.5000
Ir 0.7500 0.7500 0.7500
CELL_PARAMETERS angstrom
0.0000 3.1544 3.1544
3.1544 0.0000 3.1544
3.1544 3.1544 0.0000

[2]
! GeMo2Ir PBE relaxed; values from VASP
! Calculated volume ... 15.2 Å³ per atom
! Raw total energy ... -8.694 eV/atom
! Crystal system ... cubic
! Magnetization ... 0.55 μB per formula unit
&SYSTEM
  ibrav = 0, nat = 4, ntyp = 3
/
ATOMIC_SPECIES
Ge 72.64 Ge.upf
Mo 95.94 Mo.upf
Ir 192.22 Ir.upf
ATOMIC_POSITIONS crystal
Ge 0.0000 0.0000 0.0000
Mo 0.5000 0.5000 0.5000
Mo 0.7500 0.7500 0.7500
Ir 0.2500 0.2500 0.2500
CELL_PARAMETERS angstrom
0.0000 3.1237 3.1237
3.1237 0.0000 3.1237
3.1237 3.1237 0.0000

[3]
! GeMoIr2 PBE relaxed; values from VASP
! Calculated volume ... 15.0 Å³ per atom
! Raw total energy ... -8.220 eV/atom
! Crystal system ... cubic
! Magnetization ... 0.02 μB per formula unit
&SYSTEM
  ibrav = 0, nat = 4, ntyp = 3
/
ATOMIC_SPECIES
Ge 72.64 Ge.upf
Mo 95.94 Mo.upf
Ir 192.22 Ir.upf
ATOMIC_POSITIONS crystal
Ge 0.0000 0.0000 0.0000
Mo 0.2500 0.2500 0.2500
Ir 0.5000 0.5000 0.5000
Ir 0.7500 0.7500 0.7500
CELL_PARAMETERS angstrom
0.0000 3.1098 3.1098
3.1098 0.0000 3.1098
3.1098 3.1098 0.0000

[4]
! PrGeIr2N PBE relaxed; values from VASP
! Calculated volume ... 16.0 Å³ per atom
! Raw total energy ... -7.489 eV/atom
! Crystal system ... tetragonal
! Magnetization ... 0.00 μB per formula unit
&SYSTEM
  ibrav = 0, nat = 10, ntyp = 4
/
ATOMIC_SPECIES
Pr 140.91 Pr.upf
Ge 72.64 Ge.upf
Ir 192.22 Ir.upf
N 14.01 N.upf
ATOMIC_POSITIONS crystal
Pr 0.2500 0.2500 0.2186
Pr 0.7500 0.7500 0.7814
Ge 0.2500 0.2500 0.6477
Ge 0.7500 0.7500 0.3523
Ir 0.2500 0.2500 0.9170
Ir 0.2500 0.7500 0.5000
Ir 0.7500 0.2500 0.5000
Ir 0.7500 0.7500 0.0830
N 0.2500 0.7500 0.0000
N 0.7500 0.2500 0.0000
CELL_PARAMETERS angstrom
4.1089 0.0000 0.0000
0.0000 4.1089 0.0000
0.0000 0.0000 9.4756

[5]
! Sr2GeIrN4 PBE relaxed; values from VASP
! Calculated volume ... 14.6 Å³ per atom
! Raw total energy ... -6.456 eV/atom
! Crystal system ... tetragonal
! Magnetization ... 0.00 μB per formula unit
&SYSTEM
  ibrav = 0, nat = 8, ntyp = 4
/
ATOMIC_SPECIES
Sr 87.62 Sr.upf
Ge 72.64 Ge.upf
Ir 192.22 Ir.upf
N 14.01 N.upf
ATOMIC_POSITIONS crystal
Sr 0.0000 0.0000 0.0000
Sr 0.7500 0.2500 0.5000
Ge 0.5000 0.5000 0.0000
Ir 0.2500 0.7500 0.5000
N 0.1934 0.5719 0.0724
N 0.4281 0.5004 0.6214
N 0.4996 0.1210 0.9276
N 0.8790 0.8066 0.3786
CELL_PARAMETERS angstrom
-2.9711 2.9711 3.3116
2.9711 -2.9711 3.3116
2.9711 2.9711 -3.3116

[6]
! NaGe2Ir2 PBE relaxed; values from VASP
! Calculated volume ... 18.1 Å³ per atom
! Raw total energy ... -6.001 eV/atom
! Crystal system ... tetragonal
! Magnetization ... 0.00 μB per formula unit
&SYSTEM
  ibrav = 0, nat = 5, ntyp = 3
/
ATOMIC_SPECIES
Na 22.99 Na.upf
Ge 72.64 Ge.upf
Ir 192.22 Ir.upf
ATOMIC_POSITIONS crystal
Na 0.0000 0.0000 0.0000
Ge 0.3760 0.3760 0.0000
Ge 0.6240 0.6240 0.0000
Ir 0.2500 0.7500 0.5000
Ir 0.7500 0.2500 0.5000
CELL_PARAMETERS angstrom
-2.0809 2.0809 5.2317
2.0809 -2.0809 5.2317
2.0809 2.0809 -5.2317

[7]
! NaGeIr PBE relaxed; values from VASP
! Calculated volume ... 18.9 Å³ per atom
! Raw total energy ... -3.895 eV/atom
! Crystal system ... cubic
! Magnetization ... 0.01 μB per formula unit
&SYSTEM
  ibrav = 0, nat = 3, ntyp = 3
/
ATOMIC_SPECIES
Na 22.99 Na.upf
Ge 72.64 Ge.upf
Ir 192.22 Ir.upf
ATOMIC_POSITIONS crystal
Na 0.0000 0.0000 0.0000
Ge 0.7500 0.7500 0.7500
Ir 0.2500 0.2500 0.2500
CELL_PARAMETERS angstrom
0.0000 3.0487 3.0487
3.0487 0.0000 3.0487
3.0487 3.0487 0.0000

[8]
! NaGeIr PBE relaxed; values from VASP
! Calculated volume ... 18.3 Å³ per atom
! Raw total energy ... -4.753 eV/atom
! Crystal system ... cubic
! Magnetization ... 0.00 μB per formula unit
&SYSTEM
  ibrav = 0, nat = 3, ntyp = 3
/
ATOMIC_SPECIES
Na 22.99 Na.upf
Ge 72.64 Ge.upf
Ir 192.22 Ir.upf
ATOMIC_POSITIONS crystal
Na 0.0000 0.0000 0.0000
Ge 0.7500 0.7500 0.7500
Ir 0.5000 0.5000 0.5000
CELL_PARAMETERS angstrom
0.0000 3.0157 3.0157
3.0157 0.0000 3.0157
3.0157 3.0157 0.0000